No. 1
DFT (GGA-PBE) results for LiPmMgCl6 after structural relaxation.

The structure in POSCAR format:
```
LiPmMgCl6
1.0
6.6666 0.0000 0.0000
-3.3333 5.7735 0.0000
0.0000 0.0000 11.8650
Li Pm Mg Cl
2 2 2 12
Direct
0.0000 0.0000 0.0000
0.0000 0.0000 0.5000
0.3333 0.6667 0.2500
0.6667 0.3333 0.7500
0.3333 0.6667 0.7500
0.6667 0.3333 0.2500
0.0231 0.3528 0.6277
0.0231 0.6703 0.8723
0.3297 0.3528 0.8723
0.3297 0.9769 0.6277
0.3528 0.0231 0.1277
0.3528 0.3297 0.3723
0.6472 0.6703 0.6277
0.6472 0.9769 0.8723
0.6703 0.0231 0.3723
0.6703 0.6472 0.1277
0.9769 0.3297 0.1277
0.9769 0.6472 0.3723
```

Output
- uncorrected formation energy (kJ per mole of atoms) = -192.0
- E_tot (eV/cell) = -74.50

No. 2
DFT (GGA-PBE) results for Rb2LiMgCl5 after structural relaxation.

The structure in POSCAR format:
```
Rb2LiMgCl5
1.0
2.0109 -9.5464 0.0000
2.0109 9.5464 0.0000
0.0000 0.0000 13.3980
Rb Li Mg Cl
4 2 2 10
Direct
0.1138 0.8862 0.5000
0.1286 0.8714 0.1236
0.8714 0.1286 0.6236
0.8862 0.1138 0.0000
0.4278 0.5722 0.2594
0.5722 0.4278 0.7594
0.2097 0.7903 0.8360
0.7903 0.2097 0.3360
0.0787 0.9213 0.8532
0.2851 0.7149 0.4607
0.3054 0.6946 0.2064
0.3366 0.6634 0.8165
0.4938 0.5062 0.1145
0.5062 0.4938 0.6145
0.6634 0.3366 0.3165
0.6946 0.3054 0.7064
0.7149 0.2851 0.9607
0.9213 0.0787 0.3532
```

Output
- uncorrected formation energy (kJ per mole of atoms) = -182.1
- E_tot (eV/cell) = -63.32

No. 3
DFT (GGA-PBE) results for Rb3Li2MgCl6 after structural relaxation.

The structure in POSCAR format:
```
Rb3Li2MgCl6
1.0
7.2687 0.0000 0.0000
-3.6344 6.2949 0.0000
0.0000 0.0000 8.5816
Rb Li Mg Cl
3 2 1 6
Direct
0.0000 0.0000 0.0000
0.3333 0.6667 0.6494
0.6667 0.3333 0.3506
0.3333 0.6667 0.2238
0.6667 0.3333 0.7762
0.0000 0.0000 0.5000
0.1612 0.3225 0.3224
0.1612 0.8388 0.3224
0.3225 0.1612 0.6776
0.6775 0.8388 0.3224
0.8388 0.1612 0.6776
0.8388 0.6775 0.6776
```

Output
- uncorrected formation energy (kJ per mole of atoms) = -161.3
- E_tot (eV/cell) = -39.46

| no. | DOS(E_F) (states/eV/f.u.) |
| --- | --- |
| 1 | 0.00 |
| 2 | 0.00 |
| 3 | 1.68 |